(1)
Computed, not measured: a PBEsol-optimized structure of TaAl2Ge at the SCAN level of DFT.

a = 5.796 Å, b = 5.796 Å, c = 5.796 Å
α = 101.73°, β = 101.73°, γ = 126.40°
Positions (direct):
Ta1 0.000 0.000 0.000
Ta2 0.750 0.250 0.500
Al1 0.151 0.625 0.026
Al2 0.375 0.401 0.526
Al3 0.599 0.125 0.974
Al4 0.875 0.849 0.474
Ge1 0.250 0.750 0.500
Ge2 0.500 0.500 0.000

Properties
The calculation puts the volume at 139.86 Å³/cell. The value obtained for the size of the total moment is 0.0 μB/f.u. The formation energy from the elements is 35.5 kJ/mol of atoms.

***

(2)
Computed, not measured: a PBEsol-optimized structure of KTeAs2Br at the SCAN level of DFT.

a = 5.272 Å, b = 5.272 Å, c = 6.090 Å
α = 90.00°, β = 90.00°, γ = 90.00°
Positions (direct):
K1 0.000 0.000 0.000
Te1 0.500 0.500 0.500
As1 0.000 0.500 0.500
As2 0.500 0.000 0.500
Br1 0.500 0.500 0.000

Properties
The calculation puts the volume at 169.29 Å³/cell. Its raw formation energy is 0.050 eV/atom. The value obtained for the size of the total moment is 0.1 μB/f.u.

***

(3)
Computed, not measured: a PBEsol-optimized structure of MgAlHg at the SCAN level of DFT.

a = 4.619 Å, b = 4.619 Å, c = 3.216 Å
α = 90.00°, β = 90.00°, γ = 120.00°
Positions (direct):
Mg1 0.000 0.000 0.000
Al1 0.333 0.667 0.500
Hg1 0.667 0.333 0.500

Properties
The calculation puts the volume at 59.42 Å³/cell. The value obtained for the size of the total moment is 0.0 μB/f.u. The formation energy from the elements is -14.7 kJ/mol of atoms.

***

Question: size of the total moment of number 1 (TaAl2Ge)?
Answer: 0.0 μB/f.u.

***

Copy entry 3 word for word.
Computed, not measured: a PBEsol-optimized structure of MgAlHg at the SCAN level of DFT.

a = 4.619 Å, b = 4.619 Å, c = 3.216 Å
α = 90.00°, β = 90.00°, γ = 120.00°
Positions (direct):
Mg1 0.000 0.000 0.000
Al1 0.333 0.667 0.500
Hg1 0.667 0.333 0.500

Properties
The calculation puts the volume at 59.42 Å³/cell. The value obtained for the size of the total moment is 0.0 μB/f.u. The formation energy from the elements is -14.7 kJ/mol of atoms.

***

Question: Which value of size of the total moment does entry 2 give?
Answer: 0.1 μB/f.u.